First-principles (PBE) data for a geometry-optimized Zn2NiAg structure, as listed in Alexandria via LeMat-Bulk.

Unit cell a=2.8041 b=2.8041 c=25.5234 alpha=90.00 beta=90.00 gamma=120.00
Space group R-3m (No. 166, hexagonal axes)
Symmetry-distinct sites (fractional):
Zn 0.0000 0.0000 0.2418 (multiplicity 6)
Ni 0.0000 0.0000 0.5000 (multiplicity 3)
Ag 0.0000 0.0000 0.0000 (multiplicity 3)

Output
The formation energy comes out at -0.0735 eV per atom.

First-principles (PBE) data for a geometry-optimized ZnNi2Ag structure, as listed in Alexandria via LeMat-Bulk.

Unit cell a=2.6991 b=2.6991 c=25.3836 alpha=90.00 beta=90.00 gamma=120.00
Space group R-3m (No. 166, hexagonal axes)
Symmetry-distinct sites (fractional):
Zn 0.0000 0.0000 0.0000 (multiplicity 3)
Ni 0.0000 0.0000 0.2557 (multiplicity 6)
Ag 0.0000 0.0000 0.5000 (multiplicity 3)

Output
The formation energy comes out at 0.0613 eV per atom.

First-principles (PBE) data for a geometry-optimized ZnNi2Ag structure, as listed in Alexandria via LeMat-Bulk.

Unit cell a=8.694 b=2.723 c=4.593 alpha=90.00 beta=101.65 gamma=90.00
Space group Cm (No. 8)
Symmetry-distinct sites (fractional):
Zn 0.000 0.000 0.000 (multiplicity 2)
Ni 0.245 0.500 0.233 (multiplicity 2)
Ni 0.483 0.000 0.456 (multiplicity 2)
Ag 0.240 0.000 0.724 (multiplicity 2)

Output
The formation energy comes out at 0.0460 eV per atom.

First-principles (PBE) data for a geometry-optimized Zn2NiAg structure, as listed in Alexandria via LeMat-Bulk.

Unit cell a=3.011 b=4.293 c=8.833 alpha=90.00 beta=90.00 gamma=90.00
Space group Imm2 (No. 44)
Symmetry-distinct sites (fractional):
Zn 0.000 0.000 0.000 (multiplicity 2)
Zn 0.000 0.500 0.244 (multiplicity 2)
Ni 0.000 0.000 0.521 (multiplicity 2)
Ag 0.000 0.500 0.763 (multiplicity 2)

Output
The formation energy comes out at -0.0425 eV per atom.